Entry 1:
DFT (PBE) results for Ce2PH2 after structural relaxation.

Properties
The value obtained for the spin magnetization is 0.320 μB/atom. The calculation puts the total energy at -28.07 eV per formula unit.

Geometry as CIF:
```
data_Ce2PH2
_space_group_name_H-M_alt 'I 4/m m m'
_space_group_IT_number 139
_space_group_name_Hall '-I 4 2'
_cell_length_a 3.697
_cell_length_b 3.697
_cell_length_c 11.927
_cell_angle_alpha 90.00
_cell_angle_beta 90.00
_cell_angle_gamma 90.00
loop_
_atom_site_label
_atom_site_fract_x
_atom_site_fract_y
_atom_site_fract_z
Ce1 0.000 0.000 0.129
P1 0.000 0.000 0.500
H1 0.000 0.500 0.250
```

Entry 2:
DFT (PBE) results for Ce2PH4 after structural relaxation.

Properties
The value obtained for the spin magnetization is 0.153 μB/atom. The polymorph energy (0 for the lowest one) is 0.0 meV per atom.

Geometry as CIF:
```
data_Ce2PH4
_space_group_name_H-M_alt 'R -3 m'
_space_group_IT_number 166
_space_group_name_Hall '-R 3 2"'
_cell_length_a 3.8778
_cell_length_b 3.8778
_cell_length_c 21.0390
_cell_angle_alpha 90.00
_cell_angle_beta 90.00
_cell_angle_gamma 120.00
loop_
_atom_site_label
_atom_site_fract_x
_atom_site_fract_y
_atom_site_fract_z
Ce1 0.0000 0.0000 0.2473
P1 0.0000 0.0000 0.0000
H1 0.0000 0.0000 0.1341
H2 0.0000 0.0000 0.4326
```

Entry 3:
DFT (PBE) results for CePH after structural relaxation.

Properties
The value obtained for the spin magnetization is 0.030 μB/atom. The polymorph energy (0 for the lowest one) is 83.9 meV per atom.

Geometry as CIF:
```
data_CePH
_space_group_name_H-M_alt 'P -6 m 2'
_space_group_IT_number 187
_space_group_name_Hall 'P -6 2'
_cell_length_a 3.8899
_cell_length_b 3.8899
_cell_length_c 3.7778
_cell_angle_alpha 90.00
_cell_angle_beta 90.00
_cell_angle_gamma 120.00
loop_
_atom_site_label
_atom_site_fract_x
_atom_site_fract_y
_atom_site_fract_z
Ce1 0.0000 0.0000 0.0000
P1 0.3333 0.6667 0.5000
H1 0.6667 0.3333 0.0000
```

Entry 4:
DFT (PBE) results for CePH after structural relaxation.

Properties
The value obtained for the spin magnetization is 0.051 μB/atom. The polymorph energy (0 for the lowest one) is 408.3 meV per atom.

Geometry as CIF:
```
data_CePH
_space_group_name_H-M_alt 'C 1 2/c 1'
_space_group_IT_number 15
_space_group_name_Hall '-C 2yc'
_cell_length_a 9.256
_cell_length_b 8.409
_cell_length_c 7.687
_cell_angle_alpha 90.00
_cell_angle_beta 126.89
_cell_angle_gamma 90.00
loop_
_atom_site_label
_atom_site_fract_x
_atom_site_fract_y
_atom_site_fract_z
Ce1 0.000 0.116 0.250
Ce2 0.000 0.366 0.750
P1 0.136 0.375 0.522
H1 0.115 0.125 0.981
```

Entry 5:
DFT (PBE) results for Ce2PH4 after structural relaxation.

Properties
The value obtained for the spin magnetization is 0.154 μB/atom. The polymorph energy (0 for the lowest one) is 47.9 meV per atom.

Geometry as CIF:
```
data_Ce2PH4
_space_group_name_H-M_alt 'P 42/m n m'
_space_group_IT_number 136
_space_group_name_Hall '-P 4n 2n'
_cell_length_a 6.929
_cell_length_b 6.929
_cell_length_c 3.873
_cell_angle_alpha 90.00
_cell_angle_beta 90.00
_cell_angle_gamma 90.00
loop_
_atom_site_label
_atom_site_fract_x
_atom_site_fract_y
_atom_site_fract_z
Ce1 0.215 0.215 0.000
P1 0.000 0.000 0.500
H1 0.103 0.658 0.000
```

Entry 6:
DFT (PBE) results for Ce2PH3 after structural relaxation.

Properties
The value obtained for the spin magnetization is 0.303 μB/atom. The calculation puts the total energy at -32.40 eV per formula unit.

Geometry as CIF:
```
data_Ce2PH3
_space_group_name_H-M_alt 'P -3 m 1'
_space_group_IT_number 164
_space_group_name_Hall '-P 3 2"'
_cell_length_a 3.9517
_cell_length_b 3.9517
_cell_length_c 6.4883
_cell_angle_alpha 90.00
_cell_angle_beta 90.00
_cell_angle_gamma 120.00
loop_
_atom_site_label
_atom_site_fract_x
_atom_site_fract_y
_atom_site_fract_z
Ce1 0.3333 0.6667 0.2687
P1 0.0000 0.0000 0.0000
H1 0.0000 0.0000 0.5000
H2 0.3333 0.6667 0.6358
```

Entry 7:
DFT (PBE) results for Ce6PH8 after structural relaxation.

Properties
The value obtained for the spin magnetization is 0.409 μB/atom. The calculation puts the total energy at -76.02 eV per formula unit.

Geometry as CIF:
```
data_Ce6PH8
_space_group_name_H-M_alt 'R -3'
_space_group_IT_number 148
_space_group_name_Hall '-R 3'
_cell_length_a 6.5707
_cell_length_b 6.5707
_cell_length_c 19.0762
_cell_angle_alpha 90.00
_cell_angle_beta 90.00
_cell_angle_gamma 120.00
loop_
_atom_site_label
_atom_site_fract_x
_atom_site_fract_y
_atom_site_fract_z
Ce1 0.9996 0.3441 0.0842
P1 0.0000 0.0000 0.0000
H1 0.0000 0.0000 0.3335
H2 0.0002 0.3200 0.8736
```

Entry 8:
DFT (PBE) results for CePH after structural relaxation.

Properties
The value obtained for the spin magnetization is 0.292 μB/atom. The polymorph energy (0 for the lowest one) is 180.7 meV per atom.

Geometry as CIF:
```
data_CePH
_space_group_name_H-M_alt 'P -1'
_space_group_IT_number 2
_space_group_name_Hall '-P 1'
_cell_length_a 4.096
_cell_length_b 5.358
_cell_length_c 5.719
_cell_angle_alpha 70.21
_cell_angle_beta 69.04
_cell_angle_gamma 67.69
loop_
_atom_site_label
_atom_site_fract_x
_atom_site_fract_y
_atom_site_fract_z
Ce1 0.230 0.297 0.241
P1 0.478 0.697 0.348
H1 0.177 0.704 0.943
```

What did the first record say?
DFT (PBE) results for Ce2PH2 after structural relaxation.

Properties
The value obtained for the spin magnetization is 0.320 μB/atom. The calculation puts the total energy at -28.07 eV per formula unit.

Geometry as CIF:
```
data_Ce2PH2
_space_group_name_H-M_alt 'I 4/m m m'
_space_group_IT_number 139
_space_group_name_Hall '-I 4 2'
_cell_length_a 3.697
_cell_length_b 3.697
_cell_length_c 11.927
_cell_angle_alpha 90.00
_cell_angle_beta 90.00
_cell_angle_gamma 90.00
loop_
_atom_site_label
_atom_site_fract_x
_atom_site_fract_y
_atom_site_fract_z
Ce1 0.000 0.000 0.129
P1 0.000 0.000 0.500
H1 0.000 0.500 0.250
```

Question: Number 8 is which compound?
Answer: CePH